Entry 1:
This record from Alexandria describes a relaxed OsRhSe crystal. The functional is PBE-GGA.

abc: 2.8021 4.8221 13.9280
angles: 90.00 90.00 90.00
Atoms (fractional coordinates):
Os: 0.0000 0.0000 0.0000
Os: 0.0000 0.5000 0.5000
Os: 0.5000 0.0000 0.5000
Os: 0.5000 0.5000 0.0000
Rh: 0.0000 0.0000 0.6588
Rh: 0.0000 0.5000 0.1588
Rh: 0.5000 0.0000 0.1588
Rh: 0.5000 0.5000 0.6588
Se: 0.0000 0.0000 0.3336
Se: 0.0000 0.5000 0.8336
Se: 0.5000 0.0000 0.8336
Se: 0.5000 0.5000 0.3336

Properties
- ΔE_f (raw) (eV per atom) = 0.6508
- distance to the lowest polymorph of the same formula (eV/atom) = 0.2885
- total magnetization (μB/f.u.) = 0.0
- total energy (eV for the cell shown) = -80.5



Entry 2:
This record from Alexandria describes a relaxed OsRhSe2 crystal. The functional is PBE-GGA.

abc: 2.9184 4.3688 5.0975
angles: 90.00 90.00 90.00
Atoms (fractional coordinates):
Os: 0.0000 0.0000 0.0000
Rh: 0.5000 0.0000 0.5000
Se: 0.0000 0.5000 0.5000
Se: 0.5000 0.5000 0.0000

Properties
- ΔE_f (raw) (eV per atom) = 0.7220
- distance to the lowest polymorph of the same formula (eV/atom) = 0.6286
- total magnetization (μB/f.u.) = 0.0
- total energy (eV for the cell shown) = -22.7



Entry 3:
This record from Alexandria describes a relaxed OsRh2Se crystal. The functional is PBE-GGA.

abc: 2.8593 3.6564 5.7764
angles: 90.00 90.00 90.00
Atoms (fractional coordinates):
Os: 0.0000 0.0000 0.0000
Rh: 0.0000 0.0000 0.4789
Rh: 0.5000 0.5000 0.2112
Se: 0.5000 0.5000 0.6959

Properties
- ΔE_f (raw) (eV per atom) = 0.3667
- total magnetization (μB/f.u.) = 0.0
- total energy (eV for the cell shown) = -28.0



Entry 4:
This record from Alexandria describes a relaxed Os2Rh2Se crystal. The functional is PBE-GGA.

abc: 4.4943 4.4943 4.4810
angles: 90.00 90.00 90.00
Atoms (fractional coordinates):
Os: 0.0000 0.5000 0.0000
Os: 0.5000 0.0000 0.0000
Rh: 0.0000 0.0000 0.5000
Rh: 0.5000 0.5000 0.5000
Se: 0.0000 0.0000 0.0000

Properties
- ΔE_f (raw) (eV per atom) = 1.5704
- total magnetization (μB/f.u.) = 0.7
- total energy (eV for the cell shown) = -32.8



- The highest ΔE_f (raw) belongs to which entry?
  Os2Rh2Se



- What is the total magnetization in the second record?
  0.0 μB/f.u.